# K3SeN

K3SeN at its PBEsol-relaxed geometry (SCAN, Alexandria).

For the formation energy from raw total energies, the calculation gives 96 meV per atom.

It has space group Pm-3m (No. 221), with a = 6.131 Å, b = 6.131 Å, c = 6.131 Å, α = 90.00°, β = 90.00° and γ = 90.00°. Symmetry generates all atoms from K at (0.000, 0.000, 0.500), Se at (0.000, 0.000, 0.000) and N at (0.500, 0.500, 0.500).